No. 1
# Zr4TcMo

Zr4TcMo after structural relaxation (PBE, Alexandria).

- formation enthalpy at 0 K (eV per atom) = 0.7055
- offset from the most stable computed form (meV per atom) = 828
- energy (eV per atom) = -8.526

Cell lengths 5.569, 5.569, 5.569 Å; angles 60.00, 60.00, 60.00 degrees
Sites, in units of the cell vectors:
Zr 0.375 0.375 0.375
Zr 0.375 0.875 0.375
Zr 0.875 0.375 0.375
Mo 0.750 0.750 0.750
Tc 0.000 0.000 0.000
Zr 0.375 0.375 0.875


No. 2
# Gd2DyRe

Gd2DyRe after structural relaxation (PBE, Alexandria).

- formation enthalpy at 0 K (eV per atom) = 0.7845
- energy (eV per atom) = -10.519

Cell lengths 3.261, 3.261, 11.461 Å; angles 81.82, 81.82, 60.00 degrees
Sites, in units of the cell vectors:
Dy 0.500 0.500 0.500
Re 0.000 0.000 0.000
Gd 0.078 0.078 0.767
Gd 0.922 0.922 0.233


No. 3
# TcSbAs2

TcSbAs2 after structural relaxation (PBE, Alexandria).

- uncorrected formation energy (meV/atom) = -24
- energy (eV per atom) = -5.970

Cell lengths 4.704, 4.704, 6.177 Å; angles 73.79, 73.79, 39.44 degrees
Sites, in units of the cell vectors:
Tc 0.213 0.213 0.115
Sb 0.577 0.577 0.501
As 0.928 0.928 0.115
As 0.783 0.783 0.770